{"formula": "AlSeI", "functional": "PBE", "state": "optimized geometry", "sg": "No. 31", "e_form_raw_ev_per_atom": -0.760, "lattice": [[3.9252, 0.0000, 0.0000], [0.0000, 6.3238, 0.0000], [0.0000, 0.0000, 9.2171]], "species": ["I", "Al", "Se", "Se", "Al", "I"], "frac_coords": [[0.2500, 0.9736, 0.1610], [0.2500, 0.0681, 0.4229], [0.2500, 0.4602, 0.4311], [0.7500, 0.9602, 0.5689], [0.7500, 0.5681, 0.5771], [0.7500, 0.4736, 0.8390]]}

{"formula": "AlSeI3", "functional": "PBE", "state": "optimized geometry", "sg": "No. 221", "e_form_raw_ev_per_atom": 0.191, "lattice": [[-5.1512, -1.8081, -1.9907], [2.6639, -4.0202, -3.2416], [-0.3686, -3.7862, 4.3927]], "species": ["I", "I", "I", "Al", "Se"], "frac_coords": [[0.0000, 0.0000, 0.5000], [0.5000, 0.0000, 0.0000], [0.0000, 0.5000, 0.0000], [0.5000, 0.5000, 0.5000], [0.0000, 0.0000, 0.0000]]}

{"formula": "AlSeI2", "functional": "PBE", "state": "optimized geometry", "sg": "No. 225", "e_form_raw_ev_per_atom": 0.465, "relative_energy_mev_per_atom": 558, "lattice": [[0.0000, 3.8149, 3.8149], [3.8149, 0.0000, 3.8149], [3.8149, 3.8149, 0.0000]], "species": ["I", "I", "Al", "Se"], "frac_coords": [[0.2500, 0.2500, 0.2500], [0.7500, 0.7500, 0.7500], [0.0000, 0.0000, 0.0000], [0.5000, 0.5000, 0.5000]]}

Calculated volume / Å³/atom: 38.1 39.2 27.8
Calculated total energy / eV per atom: -3.69 -2.18 -2.12